Material: Tl8I4Cl3F
Method: DFT, PBE
State: optimized geometry

Lattice parameters (Å, degrees): 9.424 9.539 9.537 120.21 119.61 90.00
Fractional positions:
Cl (0.500, 0.500, 0.500)
Cl (0.500, 0.500, 0.000)
Cl (0.000, 0.500, 0.500)
I (0.000, 0.000, 0.000)
I (0.500, 0.000, 0.000)
I (0.000, 0.000, 0.500)
I (0.500, 0.000, 0.500)
Tl (0.750, 0.269, 0.500)
Tl (0.215, 0.699, 0.985)
Tl (0.769, 0.699, 0.985)
Tl (0.250, 0.731, 0.500)
Tl (0.785, 0.301, 0.015)
Tl (0.231, 0.301, 0.015)
Tl (0.260, 0.280, 0.521)
Tl (0.740, 0.720, 0.479)
F (0.000, 0.500, 0.000)

Computed properties:
SG: No. 12
Total moment: 0.00 μB per atom
Final energy: -2.935 eV/atom

---

Material: TlIClF2
Method: DFT, PBE
State: optimized geometry

Lattice parameters (Å, degrees): 4.476 7.716 4.476 90.00 90.00 90.00
Fractional positions:
F (0.000, 0.000, 0.500)
F (0.500, 0.000, 0.000)
I (0.000, 0.000, 0.000)
Cl (0.500, 0.500, 0.500)
Tl (0.000, 0.500, 0.000)

Computed properties:
SG: No. 123
Total moment: 0.00 μB per atom
Final energy: -2.833 eV/atom

---

Material: UIClF
Method: DFT, PBE
State: optimized geometry

Lattice parameters (Å, degrees): 4.219 4.219 8.080 89.93 105.05 120.33
Site moments in Bohr magnetons follow the coordinates.
Fractional positions:
U (0.495, 0.613, 0.109)  2.88
F (0.827, 0.278, 0.104)  -0.01
I (0.357, 0.041, 0.398)  -0.03
Cl (0.013, 0.872, 0.885)  -0.01

Computed properties:
SG: No. 8
Total moment: 0.75 μB per atom
Final energy: -6.105 eV/atom